Entry 1:
Here is a relaxed Dy5Tm2Sc crystal from Alexandria. Energies are from GGA-PBE.

CIF file:
```
data_Dy5Tm2Sc
_chemical_formula_sum 'Dy5 Tm2 Sc1'
_symmetry_space_group_name_H-M 'P 1'
_symmetry_Int_Tables_number 1
_symmetry_space_group_name_Hall 'P 1'
_cell_length_a 8.3063
_cell_length_b 7.1318
_cell_length_c 6.5966
_cell_angle_alpha 74.35
_cell_angle_beta 55.77
_cell_angle_gamma 49.88
loop_
_atom_site_label
_atom_site_fract_x
_atom_site_fract_y
_atom_site_fract_z
Dy1 0.0000 0.0000 0.0000
Dy2 0.9999 0.5044 0.0001
Dy3 0.0837 0.0837 0.4163
Dy4 0.5044 0.9999 0.4956
Dy5 0.5837 0.5837 0.9163
Tm1 0.0903 0.5821 0.4179
Tm2 0.5821 0.0903 0.9097
Sc1 0.5011 0.5011 0.4989
```

Theoretical density, g/cm3: 8.12
Magnetic moment, μB per formula unit: 0.00
VASP energy, eV/atom: -4.7748


Entry 2:
Here is a relaxed Dy2Tm4Sc crystal from Alexandria. Energies are from GGA-PBE.

CIF file:
```
data_Dy2Tm4Sc
_chemical_formula_sum 'Dy4 Tm8 Sc2'
_symmetry_space_group_name_H-M 'P 1'
_symmetry_Int_Tables_number 1
_symmetry_space_group_name_Hall 'P 1'
_cell_length_a 6.1399
_cell_length_b 8.2384
_cell_length_c 8.9720
_cell_angle_alpha 84.24
_cell_angle_beta 89.98
_cell_angle_gamma 68.17
loop_
_atom_site_label
_atom_site_fract_x
_atom_site_fract_y
_atom_site_fract_z
Dy1 0.0000 0.0000 0.0000
Dy2 0.0454 0.5744 0.0703
Dy3 0.4268 0.1439 0.1455
Dy4 0.7613 0.1451 0.6428
Tm1 0.1830 0.2937 0.7839
Tm2 0.2816 0.4320 0.4341
Tm3 0.3316 0.9947 0.5046
Tm4 0.4760 0.7133 0.2193
Tm5 0.5706 0.8562 0.8547
Tm6 0.6118 0.4345 0.9239
Tm7 0.8544 0.2896 0.2886
Tm8 0.9027 0.8543 0.3644
Sc1 0.1408 0.7142 0.7130
Sc2 0.7104 0.5746 0.5742
```

Theoretical density, g/cm3: 8.29
Magnetic moment, μB per formula unit: 0.00
VASP energy, eV/atom: -4.7652


Entry 3:
Here is a relaxed Dy2Tm3Sc crystal from Alexandria. Energies are from GGA-PBE.

CIF file:
```
data_Dy2Tm3Sc
_chemical_formula_sum 'Dy4 Tm6 Sc2'
_symmetry_space_group_name_H-M 'P 1'
_symmetry_Int_Tables_number 1
_symmetry_space_group_name_Hall 'P 1'
_cell_length_a 8.8234
_cell_length_b 8.8234
_cell_length_c 13.8369
_cell_angle_alpha 116.98
_cell_angle_beta 116.98
_cell_angle_gamma 22.27
loop_
_atom_site_label
_atom_site_fract_x
_atom_site_fract_y
_atom_site_fract_z
Dy1 0.1555 0.1555 0.4690
Dy2 0.3207 0.3207 0.1206
Dy3 0.6793 0.6793 0.8794
Dy4 0.8445 0.8445 0.5310
Tm1 0.0990 0.0990 0.0257
Tm2 0.2408 0.2408 0.2933
Tm3 0.4615 0.4615 0.7847
Tm4 0.5385 0.5385 0.2153
Tm5 0.7592 0.7592 0.7067
Tm6 0.9010 0.9010 0.9743
Sc1 0.0625 0.0625 0.6413
Sc2 0.9375 0.9375 0.3587
```

Theoretical density, g/cm3: 8.04
Magnetic moment, μB per formula unit: 0.00
VASP energy, eV/atom: -4.6806


Entry 4:
Here is a relaxed Dy3Tm6Sc2 crystal from Alexandria. Energies are from GGA-PBE.

CIF file:
```
data_Dy3Tm6Sc2
_chemical_formula_sum 'Dy3 Tm6 Sc2'
_symmetry_space_group_name_H-M 'P 1'
_symmetry_Int_Tables_number 1
_symmetry_space_group_name_Hall 'P 1'
_cell_length_a 16.1755
_cell_length_b 16.1755
_cell_length_c 16.1755
_cell_angle_alpha 163.46
_cell_angle_beta 163.46
_cell_angle_gamma 23.48
loop_
_atom_site_label
_atom_site_fract_x
_atom_site_fract_y
_atom_site_fract_z
Dy1 0.0000 0.0000 0.0000
Dy2 0.1997 0.1997 0.0000
Dy3 0.8003 0.8003 0.0000
Tm1 0.1165 0.6165 0.5000
Tm2 0.3072 0.3072 0.0000
Tm3 0.3835 0.8835 0.5000
Tm4 0.6165 0.1165 0.5000
Tm5 0.6928 0.6928 0.0000
Tm6 0.8835 0.3835 0.5000
Sc1 0.4561 0.4561 0.0000
Sc2 0.5439 0.5439 0.0000
```

Theoretical density, g/cm3: 7.70
Magnetic moment, μB per formula unit: 0.00
VASP energy, eV/atom: -4.5435


Calculated formation enthalpy at 0 K, 1; 1; 14; 29 kJ per mole of atoms (same order as the records).